# 1
Compound: Ca2HoMgS4
Source: Alexandria via LeMat-Bulk
Functional: PBE
Structure: optimized geometry

a = 3.8965 Å, b = 6.7936 Å, c = 6.8049 Å
α = 109.55°, β = 90.00°, γ = 90.00°
Sites, in units of the cell vectors:
S (0.0000, 0.7518, 0.2384)
S (0.5000, 0.7631, 0.7693)
S (0.5000, 0.2369, 0.2307)
S (0.0000, 0.2482, 0.7616)
Ca (0.0000, 0.5000, 0.5000)
Ca (0.5000, 0.0000, 0.5000)
Ho (0.5000, 0.5000, 0.0000)
Mg (0.0000, 0.0000, 0.0000)

space-group type = No. 10
raw formation energy = -1.880 eV per atom
E = -41.7 eV/cell
crystal system = monoclinic
size of the total moment = 0.00 μB/cell

=====

# 2
Compound: Ca3Ho3MgS8
Source: Alexandria via LeMat-Bulk
Functional: PBE
Structure: optimized geometry

a = 7.8140 Å, b = 7.8150 Å, c = 7.9322 Å
α = 119.50°, β = 90.00°, γ = 120.00°
Sites, in units of the cell vectors:
S (0.7608, 0.0084, 0.2693)
S (0.2392, 0.9916, 0.7307)
S (0.7473, 0.4946, 0.7419)
S (0.2392, 0.4784, 0.7307)
S (0.7524, 0.9916, 0.7307)
S (0.7608, 0.5216, 0.2693)
S (0.2476, 0.0084, 0.2693)
S (0.2527, 0.5054, 0.2581)
Ho (0.0000, 0.5000, 0.5000)
Ho (0.5000, 0.5000, 0.5000)
Ho (0.5000, 0.0000, 0.5000)
Ca (0.0000, 0.5000, 0.0000)
Ca (0.5000, 0.5000, 0.0000)
Ca (0.0000, 0.0000, 0.0000)
Mg (0.0000, 0.0000, 0.5000)

space-group type = No. 166
raw formation energy = -1.995 eV per atom
E = -84.3 eV/cell
crystal system = trigonal
size of the total moment = 0.00 μB/cell

=====

# 3
Compound: CaHoMgSc
Source: Alexandria via LeMat-Bulk
Functional: PBE
Structure: optimized geometry

a = 5.4708 Å, b = 5.4708 Å, c = 5.4708 Å
α = 60.00°, β = 60.00°, γ = 60.00°
Sites, in units of the cell vectors:
Ho (0.2500, 0.2500, 0.2500)
Sc (0.0000, 0.0000, 0.0000)
Ca (0.7500, 0.7500, 0.7500)
Mg (0.5000, 0.5000, 0.5000)

space-group type = No. 216
E = -14.1 eV/cell
calculated formation energy = 0.1132 eV per atom
crystal system = cubic
size of the total moment = 0.00 μB/cell

=====

# 4
Compound: Ca2HoMgSe4
Source: Alexandria via LeMat-Bulk
Functional: PBE
Structure: optimized geometry

a = 4.0715 Å, b = 7.1310 Å, c = 7.1027 Å
α = 109.52°, β = 90.00°, γ = 90.00°
Sites, in units of the cell vectors:
Mg (0.0000, 0.0000, 0.0000)
Ca (0.0000, 0.5000, 0.5000)
Ca (0.5000, 0.0000, 0.5000)
Se (0.5000, 0.2374, 0.2313)
Se (0.0000, 0.2481, 0.7609)
Se (0.0000, 0.7519, 0.2391)
Se (0.5000, 0.7626, 0.7687)
Ho (0.5000, 0.5000, 0.0000)

space-group type = No. 10
raw formation energy = -1.716 eV per atom
E = -37.8 eV/cell
crystal system = monoclinic
size of the total moment = 0.00 μB/cell

=====

- Which of these has the highest E?
  CaHoMgSc